[1]
Here is a geometry-optimized Ca2CrGeN structure from the Alexandria database. Energies are from GGA-PBE.

abc: 4.9779 4.9779 3.8565
angles: 90.00 90.00 90.00
Space group P4/mmm (No. 123)
Asymmetric unit:
Ca: 0.0000 0.5000 0.0000 (multiplicity 2)
Cr: 0.0000 0.0000 0.5000 (multiplicity 1)
Ge: 0.5000 0.5000 0.5000 (multiplicity 1)
N: 0.0000 0.0000 0.0000 (multiplicity 1)

Results
For the uncorrected formation energy, the calculation gives -0.54 eV per atom.

***

[2]
Here is a geometry-optimized SnAs2PbO8 structure from the Alexandria database. Energies are from GGA-PBE.

abc: 4.9674 4.9674 24.0907
angles: 90.00 90.00 120.00
Space group R32 (No. 155, hexagonal axes)
Asymmetric unit:
Sn: 0.0000 0.0000 0.0000 (multiplicity 3)
As: 0.0000 0.0000 0.2550 (multiplicity 6)
Pb: 0.0000 0.0000 0.5000 (multiplicity 3)
O: 0.0000 0.0000 0.1844 (multiplicity 6)
O: 0.0051 0.3489 0.6103 (multiplicity 18)

Results
For the uncorrected formation energy, the calculation gives -1.23 eV per atom.

***

Which value of uncorrected formation energy does entry 1 give?
-0.54 eV per atom

***

Which formula does entry 1 have?
Ca2CrGeN